Entry 1:
Pa2NbRe: optimized geometry, PBE.

Computed properties:
Distance to the lowest polymorph of the same formula: 26.4 kJ per mole of atoms
Space group: R-3m, No. 166
M_tot: 0.00 μB per cell
VASP energy: -39.80 eV/f.u.
Energy of formation: 0.4282 eV per atom

Unit cell a=3.048 b=3.048 c=31.371 alpha=90.00 beta=90.00 gamma=120.00
Fractional coordinates of all 12 atoms:
Pa: 0.000 0.000 0.092
Pa: 0.000 0.000 0.908
Pa: 0.333 0.667 0.575
Pa: 0.333 0.667 0.758
Pa: 0.667 0.333 0.242
Pa: 0.667 0.333 0.425
Nb: 0.000 0.000 0.000
Nb: 0.333 0.667 0.667
Nb: 0.667 0.333 0.333
Re: 0.000 0.000 0.500
Re: 0.333 0.667 0.167
Re: 0.667 0.333 0.833

---

Entry 2:
PaNbRe2: optimized geometry, PBE.

Computed properties:
Distance to the lowest polymorph of the same formula: 3.6 kJ per mole of atoms
Space group: Fm-3m, No. 225
M_tot: 0.00 μB per cell
VASP energy: -44.52 eV/f.u.
Energy of formation: -0.0155 eV per atom

Unit cell a=6.663 b=6.663 c=6.663 alpha=90.00 beta=90.00 gamma=90.00
Fractional coordinates of all 16 atoms:
Pa: 0.000 0.000 0.000
Pa: 0.000 0.500 0.500
Pa: 0.500 0.000 0.500
Pa: 0.500 0.500 0.000
Nb: 0.000 0.000 0.500
Nb: 0.000 0.500 0.000
Nb: 0.500 0.000 0.000
Nb: 0.500 0.500 0.500
Re: 0.250 0.250 0.250
Re: 0.250 0.250 0.750
Re: 0.250 0.750 0.250
Re: 0.250 0.750 0.750
Re: 0.750 0.250 0.250
Re: 0.750 0.250 0.750
Re: 0.750 0.750 0.250
Re: 0.750 0.750 0.750

---

Entry 3:
PaNbRe4: optimized geometry, PBE.

Computed properties:
Space group: F-43m, No. 216
M_tot: 0.00 μB per cell
VASP energy: -69.41 eV/f.u.
Energy of formation: -0.0082 eV per atom

Unit cell a=5.342 b=5.342 c=5.342 alpha=60.00 beta=60.00 gamma=60.00
Fractional coordinates of all 6 atoms:
Pa: 0.000 0.000 0.000
Nb: 0.750 0.750 0.750
Re: 0.375 0.375 0.375
Re: 0.375 0.375 0.874
Re: 0.375 0.874 0.375
Re: 0.874 0.375 0.375

---

Entry 4:
PaNbRe: optimized geometry, PBE.

Computed properties:
Distance to the lowest polymorph of the same formula: 2.2 kJ per mole of atoms
Space group: P3m1, No. 156
M_tot: 0.00 μB per cell
VASP energy: -31.82 eV/f.u.
Energy of formation: 0.0634 eV per atom

Unit cell a=4.656 b=4.656 c=3.002 alpha=90.00 beta=90.00 gamma=120.00
Fractional coordinates of all 3 atoms:
Pa: 0.000 0.000 0.000
Nb: 0.333 0.667 0.295
Re: 0.667 0.333 0.688

---

Entry 5:
ScPaNbRe: optimized geometry, PBE.

Computed properties:
Space group: F-43m, No. 216
M_tot: 0.00 μB per cell
VASP energy: -38.49 eV/f.u.
Energy of formation: -0.0359 eV per atom

Unit cell a=6.772 b=6.772 c=6.772 alpha=90.00 beta=90.00 gamma=90.00
Fractional coordinates of all 16 atoms:
Sc: 0.000 0.000 0.000
Sc: 0.000 0.500 0.500
Sc: 0.500 0.000 0.500
Sc: 0.500 0.500 0.000
Pa: 0.000 0.000 0.500
Pa: 0.000 0.500 0.000
Pa: 0.500 0.000 0.000
Pa: 0.500 0.500 0.500
Nb: 0.250 0.250 0.750
Nb: 0.250 0.750 0.250
Nb: 0.750 0.250 0.250
Nb: 0.750 0.750 0.750
Re: 0.250 0.250 0.250
Re: 0.250 0.750 0.750
Re: 0.750 0.250 0.750
Re: 0.750 0.750 0.250

---

Entry 6:
PaTaNbRe: optimized geometry, PBE.

Computed properties:
Space group: F-43m, No. 216
M_tot: 0.00 μB per cell
VASP energy: -44.13 eV/f.u.
Energy of formation: -0.0654 eV per atom

Unit cell a=6.712 b=6.712 c=6.712 alpha=90.00 beta=90.00 gamma=90.00
Fractional coordinates of all 16 atoms:
Pa: 0.000 0.000 0.000
Pa: 0.000 0.500 0.500
Pa: 0.500 0.000 0.500
Pa: 0.500 0.500 0.000
Ta: 0.000 0.000 0.500
Ta: 0.000 0.500 0.000
Ta: 0.500 0.000 0.000
Ta: 0.500 0.500 0.500
Nb: 0.250 0.250 0.250
Nb: 0.250 0.750 0.750
Nb: 0.750 0.250 0.750
Nb: 0.750 0.750 0.250
Re: 0.250 0.250 0.750
Re: 0.250 0.750 0.250
Re: 0.750 0.250 0.250
Re: 0.750 0.750 0.750

---

Entry 7:
PaNbVRe: optimized geometry, PBE.

Computed properties:
Space group: F-43m, No. 216
M_tot: 0.01 μB per cell
VASP energy: -41.12 eV/f.u.
Energy of formation: 0.0041 eV per atom

Unit cell a=6.595 b=6.595 c=6.595 alpha=90.00 beta=90.00 gamma=90.00
Fractional coordinates of all 16 atoms:
Pa: 0.000 0.000 0.000
Pa: 0.000 0.500 0.500
Pa: 0.500 0.000 0.500
Pa: 0.500 0.500 0.000
Nb: 0.000 0.000 0.500
Nb: 0.000 0.500 0.000
Nb: 0.500 0.000 0.000
Nb: 0.500 0.500 0.500
V: 0.250 0.250 0.750
V: 0.250 0.750 0.250
V: 0.750 0.250 0.250
V: 0.750 0.750 0.750
Re: 0.250 0.250 0.250
Re: 0.250 0.750 0.750
Re: 0.750 0.250 0.750
Re: 0.750 0.750 0.250

---

Entry 8:
ZrPaNbRe: optimized geometry, PBE.

Computed properties:
Space group: F-43m, No. 216
M_tot: 0.00 μB per cell
VASP energy: -40.78 eV/f.u.
Energy of formation: -0.0550 eV per atom

Unit cell a=6.834 b=6.834 c=6.834 alpha=90.00 beta=90.00 gamma=90.00
Fractional coordinates of all 16 atoms:
Zr: 0.000 0.000 0.000
Zr: 0.000 0.500 0.500
Zr: 0.500 0.000 0.500
Zr: 0.500 0.500 0.000
Pa: 0.000 0.000 0.500
Pa: 0.000 0.500 0.000
Pa: 0.500 0.000 0.000
Pa: 0.500 0.500 0.500
Nb: 0.250 0.250 0.250
Nb: 0.250 0.750 0.750
Nb: 0.750 0.250 0.750
Nb: 0.750 0.750 0.250
Re: 0.250 0.250 0.750
Re: 0.250 0.750 0.250
Re: 0.750 0.250 0.250
Re: 0.750 0.750 0.750